This record from the Alexandria database describes Mn2CrW at its PBEsol-relaxed geometry. The functional is SCAN.

Cell: 2.9979 4.1357 7.8795 Å, 90.00 90.00 90.00°
Space group Cmm2 (No. 35)
Symmetry-distinct sites (fractional):
1 Mn 0.0000 0.0000 0.0000 x2
2 Mn 0.0000 0.5000 0.2299 x2
3 Cr 0.0000 0.5000 0.7669 x2
4 W 0.0000 0.0000 0.4953 x2

Results
The calculation puts the density of states at the Fermi level at 7.49 states/eV/cell. As for the formation energy: 0.181 eV/atom. The volume is 12.212 A^3/atom.



This record from the Alexandria database describes Mn4CrW at its PBEsol-relaxed geometry. The functional is SCAN.

Cell: 6.5029 6.5029 6.5029 Å, 90.00 90.00 90.00°
Space group F-43m (No. 216)
Symmetry-distinct sites (fractional):
1 Mn 0.1246 0.1246 0.1246 x16
2 Cr 0.2500 0.2500 0.7500 x4
3 W 0.0000 0.0000 0.5000 x4

Results
The calculation puts the density of states at the Fermi level at 33.81 states/eV/cell. As for the formation energy: 0.139 eV/atom. The volume is 11.458 A^3/atom.



This record from the Alexandria database describes MnCrW at its PBEsol-relaxed geometry. The functional is SCAN.

Cell: 4.1122 4.1122 2.5853 Å, 90.00 90.00 120.00°
Space group P3m1 (No. 156)
Symmetry-distinct sites (fractional):
1 Mn 0.0000 0.0000 0.0000 x1
2 Cr 0.6667 0.3333 0.6693 x1
3 W 0.3333 0.6667 0.3423 x1

Results
The calculation puts the density of states at the Fermi level at 2.85 states/eV/cell. As for the formation energy: 0.150 eV/atom. The volume is 12.620 A^3/atom. The energy above the lowest structure with this stoichiometry comes out at 0.000 eV/atom.



This record from the Alexandria database describes Mn2CrW at its PBEsol-relaxed geometry. The functional is SCAN.

Cell: 2.5464 4.0463 4.7871 Å, 90.00 100.41 90.00°
Space group Pm (No. 6)
Symmetry-distinct sites (fractional):
1 Mn 0.0000 0.0000 0.0000 x1
2 Mn 0.2984 0.5000 0.7508 x1
3 Cr 0.5334 0.0000 0.5301 x1
4 W 0.7711 0.5000 0.2526 x1

Results
The calculation puts the density of states at the Fermi level at 3.59 states/eV/cell. As for the formation energy: 0.132 eV/atom. The volume is 12.129 A^3/atom.